Entry 1:
Entry from Alexandria via LeMat-Bulk: a geometry-optimized AlCr2Co structure (GGA-PBE).

Output
SG = Pm
calculated total energy = -7.575 eV per atom
DFT formation energy = -51 meV/atom
D(E_F) = 2.59 states/eV/f.u.

a = 2.5293 Å, b = 3.9344 Å, c = 4.8364 Å
α = 90.00°, β = 100.41°, γ = 90.00°
Fractional coordinates of all 4 atoms:
Al: 0.0000 0.0000 0.0000
Cr: 0.3187 0.5000 0.7354
Cr: 0.4827 0.0000 0.5026
Co: 0.7432 0.5000 0.2397

Entry 2:
Entry from Alexandria via LeMat-Bulk: a geometry-optimized SmTm4Si4 structure (GGA-PBE).

Output
SG = P4_2/n
formation energy without anion corrections = -475 meV/atom
calculated total energy = -5.397 eV per atom
D(E_F) = 6.86 states/eV/f.u.

a = 9.0791 Å, b = 9.0791 Å, c = 5.6461 Å
α = 90.00°, β = 90.00°, γ = 90.00°
Fractional coordinates of all 18 atoms:
Sm: 0.2500 0.2500 0.2500
Sm: 0.7500 0.7500 0.7500
Tm: 0.0964 0.6441 0.1285
Tm: 0.1441 0.9036 0.6285
Tm: 0.3559 0.5964 0.6285
Tm: 0.4036 0.8559 0.1285
Tm: 0.5964 0.1441 0.8715
Tm: 0.6441 0.4036 0.3715
Tm: 0.8559 0.0964 0.3715
Tm: 0.9036 0.3559 0.8715
Si: 0.0396 0.5992 0.6330
Si: 0.0992 0.9604 0.1330
Si: 0.4008 0.5396 0.1330
Si: 0.4604 0.9008 0.6330
Si: 0.5396 0.0992 0.3670
Si: 0.5992 0.4604 0.8670
Si: 0.9008 0.0396 0.8670
Si: 0.9604 0.4008 0.3670

Entry 3:
Entry from Alexandria via LeMat-Bulk: a geometry-optimized PmDySb structure (GGA-PBE).

Output
SG = I4mm
formation energy without anion corrections = -645 meV/atom
energy above the most stable polymorph in this dataset = 0.1865 eV per atom
calculated total energy = -5.137 eV per atom
D(E_F) = 3.80 states/eV/f.u.

a = 4.0664 Å, b = 4.0664 Å, c = 10.2767 Å
α = 90.00°, β = 90.00°, γ = 90.00°
Fractional coordinates of all 6 atoms:
Pm: 0.0000 0.0000 0.0000
Pm: 0.5000 0.5000 0.5000
Dy: 0.0000 0.0000 0.3092
Dy: 0.5000 0.5000 0.8092
Sb: 0.0000 0.0000 0.6611
Sb: 0.5000 0.5000 0.1611

Entry 4:
Entry from Alexandria via LeMat-Bulk: a geometry-optimized Ga2Ag2Au structure (GGA-PBE).

Output
SG = I4/mmm
energy above the most stable polymorph in this dataset = 0.1584 eV per atom
calculated total energy = -2.899 eV per atom
DFT formation energy = 108 meV/atom
D(E_F) = 2.65 states/eV/f.u.

a = 3.8566 Å, b = 3.8566 Å, c = 12.8864 Å
α = 90.00°, β = 90.00°, γ = 90.00°
Fractional coordinates of all 10 atoms:
Ga: 0.0000 0.0000 0.0952
Ga: 0.0000 0.0000 0.9048
Ga: 0.5000 0.5000 0.4048
Ga: 0.5000 0.5000 0.5952
Ag: 0.0000 0.5000 0.2500
Ag: 0.0000 0.5000 0.7500
Ag: 0.5000 0.0000 0.2500
Ag: 0.5000 0.0000 0.7500
Au: 0.0000 0.0000 0.5000
Au: 0.5000 0.5000 0.0000